# 1
# Rb2ThAg2Se4, optimized geometry, DFT GGA-PBE
data_Rb2ThAg2Se4
_chemical_formula_sum 'Rb4 Th2 Ag4 Se8'
_cell_length_a 15.7918
_cell_length_b 4.3710
_cell_length_c 8.2797
_cell_angle_alpha 90.00
_cell_angle_beta 109.45
_cell_angle_gamma 90.00
_symmetry_space_group_name_H-M 'C 1 2/m 1'
_symmetry_Int_Tables_number 12
_symmetry_space_group_name_Hall '-C 2y'
loop_
_atom_site_label
_atom_site_type_symbol
_atom_site_fract_x
_atom_site_fract_y
_atom_site_fract_z
Rb1 Rb 0.1370 0.0000 0.0726
Th1 Th 0.0000 0.0000 0.5000
Ag1 Ag 0.1809 0.5000 0.4869
Se1 Se 0.0118 0.5000 0.2658
Se2 Se 0.1938 0.0000 0.6900
# DFT total energy: -0.320 Ry/atom
# theoretical density: 5.8 Mg/m³
# uncorrected formation energy: -1.127 eV/atom



# 2
# Sm3Dy7Sc, optimized geometry, DFT GGA-PBE
data_Sm3Dy7Sc
_chemical_formula_sum 'Sm3 Dy7 Sc1'
_cell_length_a 7.0121
_cell_length_b 7.0121
_cell_length_c 8.5794
_cell_angle_alpha 90.00
_cell_angle_beta 90.00
_cell_angle_gamma 120.00
_symmetry_space_group_name_H-M 'P 3 m 1'
_symmetry_Int_Tables_number 156
_symmetry_space_group_name_Hall 'P 3 -2"'
loop_
_atom_site_label
_atom_site_type_symbol
_atom_site_fract_x
_atom_site_fract_y
_atom_site_fract_z
Sm1 Sm 0.0017 0.5008 0.0000
Dy1 Dy 0.1683 0.3366 0.3415
Dy2 Dy 0.3353 0.1677 0.6668
Dy3 Dy 0.6667 0.3333 0.3401
Sc1 Sc 0.3333 0.6667 0.6631
# DFT total energy: -0.339 Ry/atom
# theoretical density: 7.4 Mg/m³
# Fermi-level density of states: 16.43 states/eV/cell
# ΔE_f: 0.183 eV per atom



The lowest DFT total energy belongs to which entry?
Sm3Dy7Sc